Entry 1:
# Zr2PaNb

A relaxed Zr2PaNb crystal (PBE, the Alexandria database).

Calculated values
ΔE_f   0.45 eV/f.u.
Relative energy among the computed polymorphs   0 meV per atom
Symmetry   Fm-3m
Crystal system   cubic

a = 4.990 Å, b = 4.990 Å, c = 4.990 Å
α = 60.00°, β = 60.00°, γ = 60.00°
Positions (direct):
Zr (0.250, 0.250, 0.250)
Zr (0.750, 0.750, 0.750)
Nb (0.000, 0.000, 0.000)
Pa (0.500, 0.500, 0.500)


Entry 2:
# LiLaY2

A relaxed LiLaY2 crystal (PBE, the Alexandria database).

Calculated values
ΔE_f   0.73 eV/f.u.
Relative energy among the computed polymorphs   112 meV per atom
Symmetry   I-4m2
Crystal system   tetragonal

a = 6.095 Å, b = 6.095 Å, c = 6.095 Å
α = 131.69°, β = 131.69°, γ = 70.73°
Positions (direct):
La (0.500, 0.500, 0.000)
Y (0.250, 0.750, 0.500)
Y (0.000, 0.000, 0.000)
Li (0.750, 0.250, 0.500)


Entry 3:
# PrHg2Pt

A relaxed PrHg2Pt crystal (PBE, the Alexandria database).

Calculated values
ΔE_f   -1.70 eV/f.u.
Symmetry   Fm-3m
Crystal system   cubic

a = 5.048 Å, b = 5.048 Å, c = 5.048 Å
α = 60.00°, β = 60.00°, γ = 60.00°
Positions (direct):
Pr (0.000, 0.000, 0.000)
Pt (0.500, 0.500, 0.500)
Hg (0.250, 0.250, 0.250)
Hg (0.750, 0.750, 0.750)


Entry 4:
# TaTc2Te

A relaxed TaTc2Te crystal (PBE, the Alexandria database).

Calculated values
Symmetry   P4/mmm
ΔE_f (raw)   51 meV per atom
Crystal system   tetragonal

a = 3.294 Å, b = 4.523 Å, c = 4.523 Å
α = 90.00°, β = 90.00°, γ = 90.00°
Positions (direct):
Tc (0.000, 0.000, 0.000)
Ta (0.500, 0.000, 0.500)
Te (0.500, 0.500, 0.000)
Tc (0.000, 0.500, 0.500)


Number 1: total magnetic moment 0.000 μB/atom. Number 2: total magnetic moment 0.000 μB/atom. Number 3: total magnetic moment 0.000 μB/atom. Number 4: total magnetic moment 0.000 μB/atom.